DFT (PBE) results for crystalline TlIrCl at its relaxed geometry.

Output
* energy relative to the elements, uncorrected: 620 meV/atom
* ΔE to the lowest computed polymorph: 239 meV/atom
* V: 21.664 A^3/atom
* total moment: 0.00 μB/f.u.

Cell lengths 6.1650, 6.1650, 6.1650 Å; angles 148.16, 148.16, 45.65 degrees
Positions (direct):
Tl1 0.7018 0.7018 0.0000
Ir1 0.3207 0.3207 0.0000
Cl1 0.9775 0.9775 0.0000

=====

DFT (PBE) results for crystalline V3CuAu at its relaxed geometry.

Output
* ΔE to the lowest computed polymorph: 0 meV/atom
* V: 17.147 A^3/atom
* total moment: 3.52 μB/f.u.

Cell lengths 4.4095, 4.4095, 4.4095 Å; angles 90.00, 90.00, 90.00 degrees
Site moments in Bohr magnetons follow the coordinates.
Positions (direct):
Au1 0.5000 0.5000 0.5000  0.03
Cu1 0.0000 0.0000 0.0000  0.16
V1 0.0000 0.5000 0.0000  0.96
V2 0.0000 0.0000 0.5000  0.96
V3 0.5000 0.0000 0.0000  0.96

=====

DFT (PBE) results for crystalline NaHf2As at its relaxed geometry.

Output
* ΔE to the lowest computed polymorph: 59 meV/atom
* V: 22.904 A^3/atom
* total moment: 0.00 μB/f.u.

Cell lengths 7.9449, 7.9449, 6.3236 Å; angles 51.08, 51.08, 90.00 degrees
Positions (direct):
Na1 0.5000 0.5000 0.0000
Na2 0.2500 0.7500 0.5000
As1 0.0000 0.0000 0.0000
As2 0.7500 0.2500 0.5000
Hf1 0.6739 0.1250 0.2500
Hf2 0.0761 0.6250 0.2500
Hf3 0.3750 0.3261 0.7500
Hf4 0.8750 0.9239 0.7500

=====

DFT (PBE) results for crystalline Mn4ReP2 at its relaxed geometry.

Output
* V: 17.756 A^3/atom
* VASP energy: -7.71 eV per atom
* total moment: 11.26 μB/f.u.

Cell lengths 4.4883, 4.4883, 6.9384 Å; angles 71.13, 71.13, 90.00 degrees
Site moments in Bohr magnetons follow the coordinates.
Positions (direct):
Re1 0.0000 0.0000 0.0000  -0.57
Mn1 0.7943 0.7943 0.4114  3.90
Mn2 0.2057 0.2057 0.5886  3.90
Mn3 0.0000 0.5000 0.0000  1.84
Mn4 0.5000 0.0000 0.0000  1.84
P1 0.6043 0.6043 0.7913  -0.08
P2 0.3957 0.3957 0.2087  -0.08

=====

DFT (PBE) results for crystalline Cu3Si at its relaxed geometry.

Output
* energy relative to the elements, uncorrected: -3 meV/atom
* V: 12.215 A^3/atom
* total moment: 0.00 μB/f.u.

Cell lengths 4.6061, 4.6061, 4.6061 Å; angles 90.00, 90.00, 90.00 degrees
Positions (direct):
Cu1 0.7500 0.5000 0.0000
Cu2 0.2500 0.5000 0.0000
Cu3 0.0000 0.7500 0.5000
Cu4 0.0000 0.2500 0.5000
Cu5 0.5000 0.0000 0.2500
Cu6 0.5000 0.0000 0.7500
Si1 0.0000 0.0000 0.0000
Si2 0.5000 0.5000 0.5000

=====

DFT (PBE) results for crystalline BaPb2Se2 at its relaxed geometry.

Output
* energy relative to the elements, uncorrected: -735 meV/atom
* ΔE to the lowest computed polymorph: 3 meV/atom
* V: 34.201 A^3/atom
* total moment: 0.00 μB/f.u.

Cell lengths 5.8513, 5.8513, 6.4858 Å; angles 63.19, 63.19, 90.00 degrees
Positions (direct):
Pb1 0.3413 0.3413 0.3174
Pb2 0.6587 0.6587 0.6826
Ba1 0.0000 0.0000 0.0000
Se1 0.7500 0.2500 0.5000
Se2 0.2500 0.7500 0.5000

=====

DFT (PBE) results for crystalline Ac3Pm2Sm8 at its relaxed geometry.

Output
* V: 36.955 A^3/atom
* VASP energy: -4.40 eV per atom
* total moment: 0.00 μB/f.u.

Cell lengths 3.6523, 11.9655, 21.9860 Å; angles 90.00, 90.00, 90.00 degrees
Positions (direct):
Ac1 0.0000 0.0000 0.0000
Ac2 0.0000 0.5000 0.5000
Ac3 0.0000 0.6407 0.2007
Ac4 0.0000 0.3593 0.7993
Ac5 0.0000 0.1407 0.2993
Ac6 0.0000 0.8593 0.7007
Pm1 0.5000 0.8242 0.1022
Pm2 0.5000 0.1758 0.8978
Pm3 0.5000 0.3242 0.3978
Pm4 0.5000 0.6758 0.6022
Sm1 0.0000 0.7061 0.9457
Sm2 0.0000 0.2939 0.0543
Sm3 0.0000 0.2061 0.5543
Sm4 0.0000 0.7939 0.4457
Sm5 0.0000 0.0606 0.1566
Sm6 0.0000 0.9394 0.8434
Sm7 0.0000 0.5606 0.3434
Sm8 0.0000 0.4394 0.6566
Sm9 0.5000 0.8627 0.2904
Sm10 0.5000 0.1373 0.7096
Sm11 0.5000 0.3627 0.2096
Sm12 0.5000 0.6373 0.7904
Sm13 0.5000 0.5474 0.0684
Sm14 0.5000 0.4526 0.9316
Sm15 0.5000 0.0474 0.4316
Sm16 0.5000 0.9526 0.5684

=====

DFT (PBE) results for crystalline AsSe2BrF at its relaxed geometry.

Output
* energy relative to the elements, uncorrected: 515 meV/atom
* ΔE to the lowest computed polymorph: 184 meV/atom
* V: 26.377 A^3/atom
* total moment: 1.44 μB/f.u.

Cell lengths 4.3033, 4.3033, 7.1219 Å; angles 90.00, 90.00, 90.00 degrees
Site moments in Bohr magnetons follow the coordinates.
Positions (direct):
As1 0.0000 0.0000 0.5000  0.68
Se1 0.0000 0.5000 0.0000  0.00
Se2 0.5000 0.0000 0.0000  0.00
Br1 0.5000 0.5000 0.5000  0.01
F1 0.0000 0.0000 0.0000  0.00

=====

Question: total moment of number 4 (Mn4ReP2)?
Answer: 11.26 μB/f.u.